1.
The following is a DFT calculation (PBE-GGA) of a relaxed structure of TmLuPu2.

Properties
Energy above the most stable polymorph in this dataset ... 10.5 kJ per mole of atoms
Calculated formation energy ... 0.258 eV per atom

Unit cell a=5.421 b=5.421 c=5.421 alpha=60.00 beta=60.00 gamma=60.00
Fractional positions:
Lu  0.000  0.000  0.000
Tm  0.500  0.500  0.500
Pu  0.250  0.250  0.250
Pu  0.750  0.750  0.750

---

2.
The following is a DFT calculation (PBE-GGA) of a relaxed structure of ScRhPb.

Properties
Calculated formation energy ... -0.444 eV per atom

Unit cell a=3.493 b=3.493 c=11.328 alpha=98.87 beta=98.87 gamma=90.00
Fractional positions:
Rh  0.290  0.290  0.579
Rh  0.710  0.710  0.421
Sc  0.166  0.166  0.332
Sc  0.834  0.834  0.668
Pb  0.572  0.572  0.143
Pb  0.428  0.428  0.857

---

3.
The following is a DFT calculation (PBE-GGA) of a relaxed structure of SbRu2SeN.

Properties
Formation energy (no corrections) ... 1.67 eV/atom

Unit cell a=5.006 b=3.948 c=5.006 alpha=90.00 beta=90.00 gamma=90.00
Fractional positions:
Sb  0.000  0.000  0.000
N  0.000  0.500  0.000
Se  0.500  0.500  0.500
Ru  0.000  0.000  0.500
Ru  0.500  0.000  0.000

---

4.
The following is a DFT calculation (PBE-GGA) of a relaxed structure of Bi2PO6.

Properties
Energy above the most stable polymorph in this dataset ... 0.8 kJ per mole of atoms
Formation energy (no corrections) ... -1.54 eV/atom

Unit cell a=7.875 b=7.875 c=5.757 alpha=90.00 beta=90.00 gamma=137.30
Fractional positions:
Bi  0.834  0.166  0.500
Bi  0.666  0.334  0.000
Bi  0.166  0.834  0.500
Bi  0.334  0.666  0.000
P  0.000  0.000  0.000
P  0.500  0.500  0.500
O  0.216  0.083  0.149
O  0.784  0.917  0.149
O  0.417  0.284  0.649
O  0.083  0.216  0.851
O  0.716  0.583  0.351
O  0.000  0.500  0.738
O  0.000  0.500  0.238
O  0.284  0.417  0.351
O  0.917  0.784  0.851
O  0.583  0.716  0.649
O  0.500  0.000  0.762
O  0.500  0.000  0.262

---

5.
The following is a DFT calculation (PBE-GGA) of a relaxed structure of Ba8Li2N.

Properties
Formation energy (no corrections) ... 0.05 eV/atom

Unit cell a=7.111 b=7.757 c=11.203 alpha=111.87 beta=108.50 gamma=90.00
Fractional positions:
Ba  0.425  0.638  0.850
Ba  0.617  0.954  0.234
Ba  0.783  0.706  0.567
Ba  0.994  0.239  0.989
Ba  0.217  0.294  0.433
Ba  0.383  0.046  0.766
Ba  0.575  0.362  0.150
Ba  0.006  0.761  0.011
Li  0.831  0.289  0.662
Li  0.169  0.711  0.338
N  0.500  0.000  0.000

---

6.
The following is a DFT calculation (PBE-GGA) of a relaxed structure of Pu2Ta2Ge2C.

Properties
Calculated formation energy ... -0.404 eV per atom

Unit cell a=4.267 b=4.267 c=8.174 alpha=105.13 beta=105.13 gamma=90.00
Fractional positions:
Pu  0.169  0.169  0.338
Pu  0.831  0.831  0.662
Ta  0.000  0.500  0.000
Ta  0.500  0.000  0.000
Ge  0.376  0.376  0.752
Ge  0.624  0.624  0.248
C  0.000  0.000  0.000

---

N(E_F), record by record: 12.65, 4.20, 5.83, 9.01, 13.34, 17.90 states/eV per cell
Calculated volume, record by record: 28.17, 22.48, 19.79, 13.45, 48.99, 19.75 A^3/atom